[1]
# LiAs2SeF | Alexandria via LeMat-Bulk | PBE | relaxed
# ΔE to the lowest computed polymorph: 0.000 eV per atom
# Crystal system: tetragonal
# Symmetry: P4/mmm (123)
# Formation energy from raw total energies: -0.020 eV per atom
data_LiAs2SeF
_chemical_formula_sum 'Li1 As2 Se1 F1'
_symmetry_space_group_name_H-M 'P 1'
_symmetry_Int_Tables_number 1
_symmetry_space_group_name_Hall 'P 1'
_cell_length_a 4.352
_cell_length_b 4.352
_cell_length_c 5.320
_cell_angle_alpha 90.00
_cell_angle_beta 90.00
_cell_angle_gamma 90.00
loop_
_atom_site_label
_atom_site_fract_x
_atom_site_fract_y
_atom_site_fract_z
Se1 0.000 0.000 0.500
Li1 0.500 0.500 0.500
As1 0.000 0.500 0.000
As2 0.500 0.000 0.000
F1 0.000 0.000 0.000

[2]
# LiSnAsF6 | Alexandria via LeMat-Bulk | PBE | relaxed
# Crystal system: trigonal
# Symmetry: P3 (143)
# Formation energy from raw total energies: -2.367 eV per atom
data_LiSnAsF6
_chemical_formula_sum 'Li1 Sn1 As1 F6'
_symmetry_space_group_name_H-M 'P 1'
_symmetry_Int_Tables_number 1
_symmetry_space_group_name_Hall 'P 1'
_cell_length_a 5.666
_cell_length_b 5.666
_cell_length_c 5.251
_cell_angle_alpha 89.99
_cell_angle_beta 90.01
_cell_angle_gamma 60.01
loop_
_atom_site_label
_atom_site_fract_x
_atom_site_fract_y
_atom_site_fract_z
F1 0.036 0.545 0.706
F2 0.419 0.036 0.706
F3 0.323 0.734 0.292
F4 0.545 0.419 0.706
F5 0.734 0.943 0.292
F6 0.943 0.323 0.292
Li1 0.667 0.667 0.454
As1 0.333 0.333 0.508
Sn1 0.000 0.000 0.044

Number 1: D(E_F) 2.351 states/eV/cell, density 4.2 Mg/m³, magnetization 0.000 μB per atom. Number 2: D(E_F) 0.000 states/eV/cell, density 3.6 Mg/m³, magnetization 0.000 μB per atom.